1:
TmSn2Hg | the Alexandria database | PBE | optimized geometry; crystal system = tetragonal; magnetic moment = 0.000 μB/atom
1.0
4.711 0.000 0.000
0.000 4.711 0.000
0.000 0.000 4.449
Tm Sn Hg
1 2 1
direct
0.000 0.000 0.000
0.000 0.500 0.500
0.500 0.000 0.500
0.500 0.500 0.000

***

2:
TmSn2Hg | the Alexandria database | PBE | optimized geometry; crystal system = trigonal; magnetic moment = 0.000 μB/atom
1.0
5.285 0.000 0.000
-2.642 4.577 0.000
0.000 0.000 13.029
Tm Sn Hg
3 6 3
direct
0.000 0.000 0.000
0.333 0.667 0.667
0.667 0.333 0.333
0.000 0.000 0.248
0.000 0.000 0.752
0.333 0.667 0.418
0.333 0.667 0.915
0.667 0.333 0.085
0.667 0.333 0.582
0.000 0.000 0.500
0.333 0.667 0.167
0.667 0.333 0.833

***

Most stable: 1

***

1:
TmZnSnHg | the Alexandria database | PBE | optimized geometry; crystal system = orthorhombic; magnetic moment = 0.000 μB/atom
1.0
4.339 0.000 0.000
0.000 4.411 0.000
0.000 0.000 4.645
Tm Zn Sn Hg
1 1 1 1
direct
0.000 0.000 0.000
0.000 0.500 0.500
0.500 0.500 0.000
0.500 0.000 0.500

***

2:
TmZnSnHg | the Alexandria database | PBE | optimized geometry; crystal system = cubic; magnetic moment = 0.000 μB/atom
1.0
7.174 0.000 0.000
0.000 7.174 0.000
0.000 0.000 7.174
Tm Zn Sn Hg
4 4 4 4
direct
0.000 0.000 0.000
0.000 0.500 0.500
0.500 0.000 0.500
0.500 0.500 0.000
0.250 0.250 0.250
0.250 0.750 0.750
0.750 0.250 0.750
0.750 0.750 0.250
0.000 0.000 0.500
0.000 0.500 0.000
0.500 0.000 0.000
0.500 0.500 0.500
0.250 0.250 0.750
0.250 0.750 0.250
0.750 0.250 0.250
0.750 0.750 0.750

***

Most stable: 1

***

1:
USn2Hg | the Alexandria database | PBE | optimized geometry; crystal system = tetragonal; magnetic moment = 0.646 μB/atom
1.0
4.745 0.000 0.000
0.000 4.745 0.000
0.000 0.000 4.377
U Sn Hg
1 2 1
direct
0.000 0.000 0.000
0.000 0.500 0.500
0.500 0.000 0.500
0.500 0.500 0.000

***

2:
USn2Hg | the Alexandria database | PBE | optimized geometry; crystal system = trigonal; magnetic moment = 0.516 μB/atom
1.0
3.213 0.000 0.000
-1.607 2.783 0.000
0.000 0.000 33.754
U Sn Hg
3 6 3
direct
0.000 0.000 0.000
0.333 0.667 0.667
0.667 0.333 0.333
0.000 0.000 0.414
0.000 0.000 0.586
0.333 0.667 0.080
0.333 0.667 0.253
0.667 0.333 0.747
0.667 0.333 0.920
0.000 0.000 0.500
0.333 0.667 0.167
0.667 0.333 0.833

***

Most stable: 1

***

1:
V2Sn2Hg | the Alexandria database | PBE | optimized geometry; crystal system = tetragonal; magnetic moment = 0.000 μB/atom
1.0
7.371 0.000 0.000
0.000 7.371 0.000
0.000 0.000 3.576
V Sn Hg
4 4 2
direct
0.115 0.385 0.000
0.385 0.885 0.000
0.615 0.115 0.000
0.885 0.615 0.000
0.176 0.676 0.500
0.324 0.176 0.500
0.676 0.824 0.500
0.824 0.324 0.500
0.000 0.000 0.000
0.500 0.500 0.000

***

2:
V2Sn2Hg | the Alexandria database | PBE | optimized geometry; crystal system = tetragonal; magnetic moment = 0.000 μB/atom
1.0
8.296 0.000 0.000
0.000 8.296 0.000
0.000 0.000 2.924
V Sn Hg
4 4 2
direct
0.104 0.396 0.000
0.396 0.896 0.000
0.604 0.104 0.000
0.896 0.604 0.000
0.183 0.683 0.500
0.317 0.183 0.500
0.683 0.817 0.500
0.817 0.317 0.500
0.000 0.000 0.500
0.500 0.500 0.500

***

Most stable: 1

***

1:
Sn3HgW | the Alexandria database | PBE | optimized geometry; crystal system = cubic; magnetic moment = 0.000 μB/atom
1.0
5.300 0.000 0.000
0.000 5.300 0.000
0.000 0.000 5.300
Sn Hg W
3 1 1
direct
0.000 0.000 0.500
0.000 0.500 0.000
0.500 0.000 0.000
0.500 0.500 0.500
0.000 0.000 0.000

***

2:
Sn3HgW | the Alexandria database | PBE | optimized geometry; crystal system = cubic; magnetic moment = 0.821 μB/atom
1.0
5.444 0.000 0.000
0.000 5.444 0.000
0.000 0.000 5.444
Sn Hg W
3 1 1
direct
0.000 0.000 0.500
0.000 0.500 0.000
0.500 0.000 0.000
0.000 0.000 0.000
0.500 0.500 0.500

***

Most stable: 1

***

1:
SnHgW2 | the Alexandria database | PBE | optimized geometry; crystal system = cubic; magnetic moment = 0.000 μB/atom
1.0
6.619 0.000 0.000
0.000 6.619 0.000
0.000 0.000 6.619
Sn Hg W
4 4 8
direct
0.000 0.000 0.000
0.000 0.500 0.500
0.500 0.000 0.500
0.500 0.500 0.000
0.000 0.000 0.500
0.000 0.500 0.000
0.500 0.000 0.000
0.500 0.500 0.500
0.250 0.250 0.250
0.250 0.250 0.750
0.250 0.750 0.250
0.250 0.750 0.750
0.750 0.250 0.250
0.750 0.250 0.750
0.750 0.750 0.250
0.750 0.750 0.750

***

2:
SnHgW2 | the Alexandria database | PBE | optimized geometry; crystal system = tetragonal; magnetic moment = 0.000 μB/atom
1.0
7.610 0.000 0.000
0.000 7.610 0.000
0.000 0.000 5.602
Sn Hg W
4 4 8
direct
0.000 0.000 0.000
0.000 0.500 0.250
0.500 0.000 0.750
0.500 0.500 0.500
0.000 0.000 0.500
0.000 0.500 0.750
0.500 0.000 0.250
0.500 0.500 0.000
0.237 0.250 0.125
0.250 0.737 0.375
0.250 0.763 0.875
0.263 0.250 0.625
0.737 0.750 0.625
0.750 0.237 0.875
0.750 0.263 0.375
0.763 0.750 0.125

***

Most stable: 1